Computed, not measured: a relaxed structure of Cs2Cr3F10 at the GGA+U level of DFT.

Geometry as POSCAR:
```
Cs2Cr3F10
1.0
-2.111 4.569 -4.046
-1.114 -5.609 -5.752
-6.966 -0.786 7.900
Cr F Cs
6 20 4
Direct
0.072 0.465 0.145
0.182 0.008 0.365
0.746 0.000 0.000
0.928 0.535 0.855
0.254 0.000 0.000
0.818 0.992 0.635
0.807 0.500 0.000
0.765 0.740 0.531
0.906 0.015 0.231
0.917 0.447 0.263
0.000 0.000 0.500
0.345 0.447 0.263
0.675 0.985 0.769
0.500 0.000 0.500
0.094 0.985 0.769
0.020 0.188 0.040
0.517 0.169 0.034
0.325 0.015 0.231
0.083 0.553 0.737
0.132 0.733 0.264
0.980 0.812 0.960
0.193 0.500 0.000
0.483 0.831 0.966
0.235 0.260 0.469
0.655 0.553 0.737
0.868 0.267 0.736
0.387 0.283 0.773
0.285 0.673 0.569
0.613 0.717 0.227
0.715 0.327 0.431
```

Results
Symmetry ... C2/m (12)
Theoretical density ... 4.22 g/cm3
Uncorrected energy ... -0.4115 Ry per atom